Record 1
The following is a PBE calculation of a relaxed structure of Li2TlCd, from OQMD.

Geometry as POSCAR:
```
Li2TlCd
1.0
6.682 0.000 0.000
0.000 6.682 0.000
0.000 0.000 6.682
Li Tl Cd
8 4 4
Cartesian
1.671 1.671 1.671
1.671 1.671 5.012
1.671 5.012 1.671
1.671 5.012 5.012
5.012 1.671 1.671
5.012 1.671 5.012
5.012 5.012 1.671
5.012 5.012 5.012
0.000 0.000 0.000
0.000 3.341 3.341
3.341 0.000 3.341
3.341 3.341 0.000
0.000 0.000 3.341
0.000 3.341 0.000
3.341 0.000 0.000
3.341 3.341 3.341
```

Total energy   -32.2 eV for the cell shown


Record 2
The following is a PBE calculation of a relaxed structure of Li5TlCd4, from OQMD.

Geometry as POSCAR:
```
Li5TlCd4
1.0
3.334 0.000 0.000
0.000 3.334 0.000
0.000 0.000 16.455
Li Tl Cd
5 1 4
Cartesian
0.000 0.000 0.000
0.000 0.000 3.198
0.000 0.000 6.458
0.000 0.000 9.997
0.000 0.000 13.257
1.667 1.667 8.227
1.667 1.667 1.593
1.667 1.667 4.795
1.667 1.667 11.660
1.667 1.667 14.862
```

Total energy   -18.0 eV for the cell shown


Record 3
The following is a PBE calculation of a relaxed structure of Li6TlCd, from OQMD.

Geometry as POSCAR:
```
Li6TlCd
1.0
4.583 0.000 0.000
0.000 4.583 0.000
0.000 0.000 6.417
Li Tl Cd
6 1 1
Cartesian
0.000 0.000 0.000
0.000 2.291 1.605
0.000 2.291 4.813
2.291 0.000 1.605
2.291 0.000 4.813
2.291 2.291 3.209
0.000 0.000 3.209
2.291 2.291 0.000
```

Total energy   -16.3 eV for the cell shown


Record 4
The following is a PBE calculation of a relaxed structure of Li2TlCd, from OQMD.

Geometry as POSCAR:
```
Li2TlCd
1.0
6.757 0.000 0.000
0.000 6.757 0.000
0.000 0.000 6.757
Li Tl Cd
8 4 4
Cartesian
0.000 0.000 0.000
0.000 3.379 3.379
1.689 1.689 1.689
1.689 5.068 5.068
3.379 0.000 3.379
3.379 3.379 0.000
5.068 1.689 5.068
5.068 5.068 1.689
0.000 0.000 3.379
0.000 3.379 0.000
3.379 0.000 0.000
3.379 3.379 3.379
1.689 1.689 5.068
1.689 5.068 1.689
5.068 1.689 1.689
5.068 5.068 5.068
```

Total energy   -32.0 eV for the cell shown


Record 5
The following is a PBE calculation of a relaxed structure of LiTlCd2, from OQMD.

Geometry as POSCAR:
```
LiTlCd2
1.0
6.992 0.000 0.000
0.000 6.992 0.000
0.000 0.000 6.992
Li Tl Cd
4 4 8
Cartesian
0.000 0.000 0.000
0.000 3.496 3.496
3.496 0.000 3.496
3.496 3.496 0.000
1.748 1.748 5.244
1.748 5.244 1.748
5.244 1.748 1.748
5.244 5.244 5.244
0.000 0.000 3.496
0.000 3.496 0.000
1.748 1.748 1.748
1.748 5.244 5.244
3.496 0.000 0.000
3.496 3.496 3.496
5.244 1.748 5.244
5.244 5.244 1.748
```

Total energy   -25.8 eV for the cell shown


Record 6
The following is a PBE calculation of a relaxed structure of Li2TlCd, from OQMD.

Geometry as POSCAR:
```
Li2TlCd
1.0
4.677 0.000 0.000
-2.338 4.050 0.000
0.000 0.000 8.397
Li Tl Cd
4 2 2
Cartesian
0.000 2.700 0.720
0.000 2.700 3.479
2.339 1.350 4.919
2.339 1.350 7.677
0.000 2.700 6.298
2.339 1.350 2.099
0.000 0.000 0.000
0.000 0.000 4.199
```

Total energy   -15.4 eV for the cell shown


Record 7
The following is a PBE calculation of a relaxed structure of LiTlCd, from OQMD.

Geometry as POSCAR:
```
LiTlCd
1.0
4.958 0.000 0.000
0.000 8.566 0.000
-0.053 0.000 5.989
Li Tl Cd
4 4 4
Cartesian
-0.013 1.429 1.497
-0.040 7.137 4.492
2.439 2.854 4.492
2.465 5.712 1.497
-0.040 1.429 4.492
-0.013 7.137 1.497
2.465 2.854 1.497
2.439 5.712 4.492
0.000 4.283 0.000
-0.027 4.283 2.995
2.479 0.000 0.000
2.452 0.000 2.995
```

Relative energy among the computed polymorphs   0 meV per atom


Record 8
The following is a PBE calculation of a relaxed structure of Li4Tl3Cd, from OQMD.

Geometry as POSCAR:
```
Li4Tl3Cd
1.0
4.904 0.000 0.000
0.000 4.904 0.000
0.000 0.000 6.914
Li Tl Cd
4 3 1
Cartesian
0.000 0.000 0.000
0.000 2.452 5.170
2.452 0.000 1.744
2.452 2.452 3.457
0.000 2.452 1.808
2.452 0.000 5.106
2.452 2.452 0.000
0.000 0.000 3.457
```

Total energy   -17.2 eV for the cell shown


Record 9
The following is a PBE calculation of a relaxed structure of Li2TlCd, from OQMD.

Geometry as POSCAR:
```
Li2TlCd
1.0
4.759 0.000 0.000
0.000 4.759 0.000
0.000 0.000 3.363
Li Tl Cd
2 1 1
Cartesian
0.000 2.379 0.000
2.379 0.000 0.000
0.000 0.000 1.682
2.379 2.379 1.682
```

Total energy   -8.1 eV for the cell shown


Record 10
The following is a PBE calculation of a relaxed structure of LiTmCd, from OQMD.

Geometry as POSCAR:
```
LiTmCd
1.0
6.877 0.000 0.000
0.000 6.877 0.000
0.000 0.000 6.877
Li Tm Cd
4 4 4
Cartesian
0.000 0.000 0.000
0.000 3.438 3.438
3.438 0.000 3.438
3.438 3.438 0.000
1.719 1.719 5.158
1.719 5.158 1.719
5.158 1.719 1.719
5.158 5.158 5.158
0.000 0.000 3.438
0.000 3.438 0.000
3.438 0.000 0.000
3.438 3.438 3.438
```

M_tot   0.19 μB per cell
Total energy   -24.1 eV for the cell shown


Record 11
The following is a PBE calculation of a relaxed structure of LiUCd, from OQMD.

Geometry as POSCAR:
```
LiUCd
1.0
6.588 0.000 0.000
0.000 6.588 0.000
0.000 0.000 6.588
Li U Cd
4 4 4
Cartesian
0.000 0.000 0.000
0.000 3.294 3.294
3.294 0.000 3.294
3.294 3.294 0.000
1.647 1.647 1.647
1.647 4.941 4.941
4.941 1.647 4.941
4.941 4.941 1.647
1.647 1.647 4.941
1.647 4.941 1.647
4.941 1.647 1.647
4.941 4.941 4.941
```

Relative energy among the computed polymorphs   0 meV per atom
M_tot   14.55 μB per cell


Record 12
The following is a PBE calculation of a relaxed structure of LiUCd, from OQMD.

Geometry as POSCAR:
```
LiUCd
1.0
7.017 0.000 0.000
0.000 7.017 0.000
0.000 0.000 7.017
Li U Cd
4 4 4
Cartesian
0.000 0.000 0.000
0.000 3.508 3.508
3.508 0.000 3.508
3.508 3.508 0.000
1.754 1.754 5.263
1.754 5.263 1.754
5.263 1.754 1.754
5.263 5.263 5.263
0.000 0.000 3.508
0.000 3.508 0.000
3.508 0.000 0.000
3.508 3.508 3.508
```

Relative energy among the computed polymorphs   304 meV per atom
M_tot   14.60 μB per cell